A geometry-optimized KPmVF6 structure. Source: Alexandria via LeMat-Bulk, functional PBE+U.

Lattice parameters (Å, degrees): 8.4203 7.9567 8.1138 119.36 121.26 90.00
Each line ends with the local moment (μB).
Atoms (fractional coordinates):
K1 0.7651 0.5151 0.5302  0.00
K2 0.2349 0.4849 0.4698  0.00
Pm1 0.5000 0.0000 0.5000  0.00
Pm2 0.0000 0.0000 0.5000  0.00
V1 0.5000 0.5000 0.0000  2.76
V2 0.5000 0.0000 0.0000  2.76
F1 0.4560 0.7060 0.9119  0.02
F2 0.8301 0.0801 0.6602  0.00
F3 0.8087 0.1061 0.2732  0.00
F4 0.4646 0.6671 0.2732  0.00
F5 0.4646 0.1061 0.2732  0.00
F6 0.8087 0.6671 0.2732  0.00
F7 0.5440 0.2940 0.0881  0.02
F8 0.1699 0.9199 0.3398  0.00
F9 0.1913 0.8939 0.7268  0.00
F10 0.5354 0.3329 0.7268  0.00
F11 0.5354 0.8939 0.7268  0.00
F12 0.1913 0.3329 0.7268  0.00

Output
Space group = Imma, No. 74
Spin magnetization = 3.00 μB per formula unit
Total energy = -107.95 eV per cell